# PBE-GGA LiTeAu2, relaxed
# Magnetization = 0.00 μB/f.u.
# E = -11.86 eV/f.u.
# Symmetry = R-3m
# DOS at the Fermi energy = 1.1 states/eV/f.u.
data_LiTeAu2
_chemical_formula_sum 'Li1 Te1 Au2'
_space_group_name_H-M_alt 'P 1'
_space_group_IT_number 1
_space_group_name_Hall 'P 1'
_cell_length_a 10.276
_cell_length_b 10.276
_cell_length_c 10.276
_cell_angle_alpha 17.05
_cell_angle_beta 17.05
_cell_angle_gamma 17.05
loop_
_atom_site_label
_atom_site_type_symbol
_atom_site_fract_x
_atom_site_fract_y
_atom_site_fract_z
Au1 Au 0.984 0.984 0.984
Au2 Au 0.516 0.516 0.516
Li1 Li 0.250 0.250 0.250
Te1 Te 0.750 0.750 0.750



# PBE-GGA Li5Te3Au, relaxed
# Magnetization = 0.00 μB/f.u.
# E = -29.90 eV/f.u.
# Symmetry = C2/c
data_Li5Te3Au
_chemical_formula_sum 'Li10 Te6 Au2'
_space_group_name_H-M_alt 'P 1'
_space_group_IT_number 1
_space_group_name_Hall 'P 1'
_cell_length_a 6.556
_cell_length_b 8.027
_cell_length_c 9.165
_cell_angle_alpha 106.69
_cell_angle_beta 90.00
_cell_angle_gamma 114.10
loop_
_atom_site_label
_atom_site_type_symbol
_atom_site_fract_x
_atom_site_fract_y
_atom_site_fract_z
Li1 Li 0.249 0.000 0.750
Li2 Li 0.585 0.687 0.910
Li3 Li 0.917 0.325 0.073
Li4 Li 0.415 0.313 0.090
Li5 Li 0.591 0.675 0.427
Li6 Li 0.751 0.000 0.250
Li7 Li 0.102 0.687 0.410
Li8 Li 0.898 0.313 0.590
Li9 Li 0.409 0.325 0.573
Li10 Li 0.083 0.675 0.927
Te1 Te 0.000 0.000 0.000
Te2 Te 0.686 0.345 0.338
Te3 Te 0.000 0.000 0.500
Te4 Te 0.314 0.655 0.662
Te5 Te 0.658 0.345 0.838
Te6 Te 0.342 0.655 0.162
Au1 Au 0.713 0.000 0.750
Au2 Au 0.287 0.000 0.250



# PBE-GGA Li4TeAu, relaxed
# Magnetization = 0.88 μB/f.u.
# E = -15.61 eV/f.u.
# Symmetry = F-43m
# DOS at the Fermi energy = 2.4 states/eV/f.u.
data_Li4TeAu
_chemical_formula_sum 'Li4 Te1 Au1'
_space_group_name_H-M_alt 'P 1'
_space_group_IT_number 1
_space_group_name_Hall 'P 1'
_cell_length_a 5.337
_cell_length_b 5.337
_cell_length_c 5.337
_cell_angle_alpha 60.00
_cell_angle_beta 60.00
_cell_angle_gamma 60.00
loop_
_atom_site_label
_atom_site_type_symbol
_atom_site_fract_x
_atom_site_fract_y
_atom_site_fract_z
Li1 Li 0.877 0.374 0.374
Li2 Li 0.374 0.374 0.877
Li3 Li 0.374 0.877 0.374
Li4 Li 0.374 0.374 0.374
Te1 Te 0.750 0.750 0.750
Au1 Au 0.000 0.000 0.000



# PBE-GGA LiTe3Au, relaxed
# Magnetization = 0.00 μB/f.u.
# E = -15.89 eV/f.u.
# Symmetry = P2_1/m
# DOS at the Fermi energy = 2.4 states/eV/f.u.
data_LiTe3Au
_chemical_formula_sum 'Li2 Te6 Au2'
_space_group_name_H-M_alt 'P 1'
_space_group_IT_number 1
_space_group_name_Hall 'P 1'
_cell_length_a 4.202
_cell_length_b 8.015
_cell_length_c 8.485
_cell_angle_alpha 87.74
_cell_angle_beta 90.00
_cell_angle_gamma 90.00
loop_
_atom_site_label
_atom_site_type_symbol
_atom_site_fract_x
_atom_site_fract_y
_atom_site_fract_z
Li1 Li 0.250 0.427 0.250
Li2 Li 0.750 0.573 0.750
Te1 Te 0.750 0.634 0.406
Te2 Te 0.250 0.366 0.594
Te3 Te 0.750 0.301 0.053
Te4 Te 0.250 0.954 0.717
Te5 Te 0.250 0.699 0.947
Te6 Te 0.750 0.046 0.283
Au1 Au 0.250 0.823 0.269
Au2 Au 0.750 0.177 0.731



# PBE-GGA LiTeAu2, relaxed
# Magnetization = 0.00 μB/f.u.
# E = -12.53 eV/f.u.
# Symmetry = Cm
# DOS at the Fermi energy = 1.3 states/eV/f.u.
data_LiTeAu2
_chemical_formula_sum 'Li1 Te1 Au2'
_space_group_name_H-M_alt 'P 1'
_space_group_IT_number 1
_space_group_name_Hall 'P 1'
_cell_length_a 5.034
_cell_length_b 5.034
_cell_length_c 4.420
_cell_angle_alpha 74.35
_cell_angle_beta 74.35
_cell_angle_gamma 48.72
loop_
_atom_site_label
_atom_site_type_symbol
_atom_site_fract_x
_atom_site_fract_y
_atom_site_fract_z
Au1 Au 0.009 0.009 0.958
Au2 Au 0.756 0.756 0.732
Li1 Li 0.490 0.490 0.540
Te1 Te 0.244 0.244 0.269



# PBE-GGA LiTeAu2, relaxed
# Magnetization = 0.00 μB/f.u.
# E = -12.42 eV/f.u.
# Symmetry = P4mm
# DOS at the Fermi energy = 1.2 states/eV/f.u.
data_LiTeAu2
_chemical_formula_sum 'Li1 Te1 Au2'
_space_group_name_H-M_alt 'P 1'
_space_group_IT_number 1
_space_group_name_Hall 'P 1'
_cell_length_a 3.741
_cell_length_b 3.741
_cell_length_c 5.788
_cell_angle_alpha 90.00
_cell_angle_beta 90.00
_cell_angle_gamma 90.00
loop_
_atom_site_label
_atom_site_type_symbol
_atom_site_fract_x
_atom_site_fract_y
_atom_site_fract_z
Au1 Au 0.000 0.000 0.048
Au2 Au 0.500 0.500 0.232
Li1 Li 0.000 0.000 0.501
Te1 Te 0.500 0.500 0.719



# PBE-GGA Li2Te2Au, relaxed
# Magnetization = 0.00 μB/f.u.
# E = -15.12 eV/f.u.
# Symmetry = P4/mbm
# DOS at the Fermi energy = 1.0 states/eV/f.u.
data_Li2Te2Au
_chemical_formula_sum 'Li4 Te4 Au2'
_space_group_name_H-M_alt 'P 1'
_space_group_IT_number 1
_space_group_name_Hall 'P 1'
_cell_length_a 8.373
_cell_length_b 8.373
_cell_length_c 3.124
_cell_angle_alpha 90.00
_cell_angle_beta 90.00
_cell_angle_gamma 90.00
loop_
_atom_site_label
_atom_site_type_symbol
_atom_site_fract_x
_atom_site_fract_y
_atom_site_fract_z
Te1 Te 0.175 0.675 0.500
Te2 Te 0.675 0.825 0.500
Te3 Te 0.825 0.325 0.500
Te4 Te 0.325 0.175 0.500
Au1 Au 0.000 0.000 0.000
Au2 Au 0.500 0.500 0.000
Li1 Li 0.372 0.872 0.000
Li2 Li 0.872 0.628 0.000
Li3 Li 0.628 0.128 0.000
Li4 Li 0.128 0.372 0.000



# PBE-GGA LiTeAu2, relaxed
# Magnetization = 0.00 μB/f.u.
# E = -12.30 eV/f.u.
# Symmetry = F-43m
# DOS at the Fermi energy = 2.2 states/eV/f.u.
data_LiTeAu2
_chemical_formula_sum 'Li1 Te1 Au2'
_space_group_name_H-M_alt 'P 1'
_space_group_IT_number 1
_space_group_name_Hall 'P 1'
_cell_length_a 4.844
_cell_length_b 4.844
_cell_length_c 4.844
_cell_angle_alpha 60.00
_cell_angle_beta 60.00
_cell_angle_gamma 60.00
loop_
_atom_site_label
_atom_site_type_symbol
_atom_site_fract_x
_atom_site_fract_y
_atom_site_fract_z
Au1 Au 0.000 0.000 0.000
Au2 Au 0.250 0.250 0.250
Li1 Li 0.500 0.500 0.500
Te1 Te 0.750 0.750 0.750